ThAlRh | PBE-GGA | relaxed

Cell and atoms, written as extended XYZ:
```
12
Lattice="-6.0386 3.7735 -0.4739 -1.2888 -6.3560 2.9778 4.6228 3.4593 3.7907" Properties=species:S:1:pos:R:3 pbc="T T T"
Th -3.1017 0.8397 1.7682
Th 2.2290 0.6827 3.9004
Th -0.7903 2.5694 3.6635
Th -3.7461 -2.3383 3.2571
Rh 0.7196 -3.9803 4.6530
Rh -5.1541 1.8871 0.1689
Rh -1.0494 -0.2077 3.3675
Rh -2.1733 -4.4697 2.3351
Al -0.4030 -2.6323 2.7581
Al 0.2381 0.5383 1.2521
Al -2.9428 0.3384 5.0425
Al 0.0733 -1.5557 5.2623
```

## Properties
Its density of states at the Fermi level is 0.93 states/eV per atom. Its crystal system is orthorhombic. As for the symmetry: Fddd (70). The calculation puts the formation energy at -0.572 eV/atom. The magnetic moment comes out at 0.00 Bohr magnetons per cell.



La2Ho3Tm | PBE-GGA | relaxed

Cell and atoms, written as extended XYZ:
```
12
Lattice="-1.5270 1.7972 -6.2602 7.2842 -5.0126 -1.9258 -3.1987 -5.6753 -1.5191" Properties=species:S:1:pos:R:3 pbc="T T T"
La 1.2134 -5.1034 -7.6364
La -0.0612 -0.6544 -2.7763
La 2.6197 -8.2362 -6.9288
La 1.3450 -3.7872 -2.0686
Ho -0.9377 -3.5173 -5.0229
Ho 3.4961 -5.3733 -4.6822
Ho -2.3855 -3.4827 -2.0575
Ho 2.0895 -2.2548 -5.3880
Ho 0.4689 -6.6358 -4.3171
Ho 4.9439 -5.4079 -7.6476
Tm 5.0714 -4.0811 -2.0893
Tm -2.5129 -4.8096 -7.6157
```

## Properties
Its density of states at the Fermi level is 1.58 states/eV per atom. Its crystal system is monoclinic. Its offset from the most stable computed form is 0 meV/atom. As for the symmetry: C2/c (15). The calculation puts the formation energy at 0.074 eV/atom. The magnetic moment comes out at 0.00 Bohr magnetons per cell.